Entry 1:
Below is a relaxed structure of RbAsIr3, with properties calculated at the PBE-GGA level.

```
RbAsIr3
1.0
4.863 0.000 0.000
0.000 4.863 0.000
0.000 0.000 4.863
Ir Rb As
3 1 1
direct
0.500 0.000 0.000
0.000 0.500 0.000
0.000 0.000 0.500
0.000 0.000 0.000
0.500 0.500 0.500
```

For the density, the calculation gives 10.64 g cm⁻³. Its energy relative to the elements is 3.284 eV/atom. As for the energy above the lowest structure with this stoichiometry: 2279.0 meV per atom. For the density of states at the Fermi level, the calculation gives 1.432 states/eV per atom. For the volume, the calculation gives 115.0 Å³/cell. For the total energy, the calculation gives -3.16 eV/atom.

***

Entry 2:
Below is a relaxed structure of Rb2AsIr, with properties calculated at the PBE-GGA level.

```
Rb2AsIr
1.0
-9.463 -0.341 8.702
4.520 -11.177 4.477
-1.136 -4.619 8.087
Ir As Rb
2 2 4
direct
0.000 0.000 0.000
0.750 0.250 0.500
0.500 0.500 0.000
0.250 0.750 0.500
0.875 0.075 0.750
0.375 0.175 0.750
0.825 0.125 0.250
0.925 0.625 0.250
```

For the density, the calculation gives 3.81 g cm⁻³. Its energy relative to the elements is -0.030 eV/atom. For the density of states at the Fermi level, the calculation gives 0.515 states/eV per atom. For the volume, the calculation gives 381.7 Å³/cell. For the total energy, the calculation gives -3.89 eV/atom.

***

Entry 3:
Below is a relaxed structure of Rb3AsIr, with properties calculated at the PBE-GGA level.

```
Rb3AsIr
1.0
6.262 0.000 0.000
0.000 6.262 0.000
0.000 0.000 6.262
Ir As Rb
1 1 3
direct
0.000 0.000 0.000
0.500 0.500 0.500
0.000 0.500 0.000
0.500 0.000 0.000
0.000 0.000 0.500
```

For the density, the calculation gives 3.54 g cm⁻³. Its energy relative to the elements is 0.833 eV/atom. For the density of states at the Fermi level, the calculation gives 1.236 states/eV per atom. For the volume, the calculation gives 245.6 Å³/cell. For the total energy, the calculation gives -2.45 eV/atom.

***

Entry 4:
Below is a relaxed structure of Rb2As2Ir, with properties calculated at the PBE-GGA level.

```
Rb2As2Ir
1.0
6.485 0.000 0.000
0.000 6.485 0.000
0.000 0.000 5.879
As Ir Rb
4 2 4
direct
0.639 0.139 0.000
0.361 0.861 0.000
0.139 0.361 0.000
0.861 0.639 0.000
0.500 0.500 0.000
0.000 0.000 0.000
0.320 0.180 0.500
0.680 0.820 0.500
0.180 0.680 0.500
0.820 0.320 0.500
```

For the density, the calculation gives 6.89 g cm⁻³. Its energy relative to the elements is -0.230 eV/atom. For the density of states at the Fermi level, the calculation gives 0.468 states/eV per atom. For the volume, the calculation gives 247.3 Å³/cell. For the total energy, the calculation gives -4.25 eV/atom.